Material: LiBeIn2
Method: DFT, PBE
State: relaxed

Results
total moment = 0.0 μB/cell
formation energy = 0.16 eV per atom
space-group type = No. 12
E = -10.47 eV/cell

abc: 4.274 4.274 4.024
angles: 89.87 89.87 89.98
Atoms (fractional coordinates):
Be (0.000, 0.500, 0.500)
In (0.000, 0.000, 0.000)
In (0.500, 0.500, 0.000)
Li (0.500, 0.000, 0.500)